[1]
Material: BaUAgTe4
Method: DFT, GGA-PBE
State: relaxed

Computed properties:
V: 33.0 A^3/atom
uncorrected formation energy: -772 meV/atom
magnetization: 0.314 μB/atom

Unit cell a=7.900 b=6.368 c=9.743 alpha=90.00 beta=109.30 gamma=90.00
Fractional coordinates of all 14 atoms:
Ba  0.241  0.250  0.061
Ba  0.759  0.750  0.939
U  0.277  0.250  0.562
U  0.723  0.750  0.438
Ag  0.260  0.750  0.305
Ag  0.740  0.250  0.695
Te  0.034  0.510  0.714
Te  0.034  0.990  0.714
Te  0.436  0.750  0.600
Te  0.450  0.750  0.122
Te  0.550  0.250  0.878
Te  0.564  0.250  0.400
Te  0.966  0.010  0.286
Te  0.966  0.490  0.286

[2]
Material: BaYAgTe3
Method: DFT, GGA-PBE
State: relaxed

Computed properties:
V: 34.3 A^3/atom
uncorrected formation energy: -1263 meV/atom
magnetization: 0.000 μB/atom

Unit cell a=9.254 b=4.525 c=10.175 alpha=90.00 beta=105.28 gamma=90.00
Fractional coordinates of all 12 atoms:
Ba  0.199  0.250  0.251
Ba  0.801  0.750  0.749
Y  0.322  0.750  0.840
Y  0.678  0.250  0.160
Ag  0.081  0.250  0.587
Ag  0.919  0.750  0.413
Te  0.103  0.250  0.873
Te  0.248  0.750  0.527
Te  0.446  0.750  0.157
Te  0.554  0.250  0.843
Te  0.752  0.250  0.473
Te  0.897  0.750  0.127

[3]
Material: BaYAgTe3
Method: DFT, GGA-PBE
State: relaxed

Computed properties:
V: 33.1 A^3/atom
uncorrected formation energy: -1262 meV/atom
magnetization: 0.000 μB/atom

Unit cell a=7.919 b=7.919 c=11.524 alpha=90.00 beta=90.00 gamma=146.69
Fractional coordinates of all 12 atoms:
Ba  0.243  0.757  0.750
Ba  0.757  0.243  0.250
Y  0.000  0.000  0.000
Y  0.000  0.000  0.500
Ag  0.469  0.531  0.250
Ag  0.531  0.469  0.750
Te  0.080  0.920  0.250
Te  0.362  0.638  0.051
Te  0.362  0.638  0.449
Te  0.638  0.362  0.551
Te  0.638  0.362  0.949
Te  0.920  0.080  0.750

[4]
Material: Ba2ZrAgTe5
Method: DFT, GGA-PBE
State: relaxed

Computed properties:
V: 34.7 A^3/atom
uncorrected formation energy: -1044 meV/atom
magnetization: 0.000 μB/atom

Unit cell a=10.451 b=10.451 c=13.825 alpha=90.00 beta=90.00 gamma=155.58
Fractional coordinates of all 18 atoms:
Ba  0.121  0.879  0.500
Ba  0.122  0.878  0.871
Ba  0.878  0.122  0.371
Ba  0.879  0.121  0.000
Zr  0.190  0.810  0.194
Zr  0.810  0.190  0.694
Ag  0.429  0.571  0.609
Ag  0.571  0.429  0.109
Te  0.050  0.950  0.225
Te  0.297  0.703  0.837
Te  0.298  0.702  0.547
Te  0.337  0.663  0.187
Te  0.500  0.500  0.437
Te  0.500  0.500  0.937
Te  0.663  0.337  0.687
Te  0.702  0.298  0.047
Te  0.703  0.297  0.337
Te  0.950  0.050  0.725

[5]
Material: BaTi2Ag
Method: DFT, GGA-PBE
State: relaxed

Computed properties:
V: 29.3 A^3/atom
relative energy among the computed polymorphs: 0.000 eV per atom
magnetization: 0.000 μB/atom
ΔE_f: 0.73 eV/atom

Unit cell a=11.176 b=11.176 c=11.176 alpha=155.79 beta=155.79 gamma=34.51
Fractional coordinates of all 8 atoms:
Ba  0.375  0.625  0.750
Ba  0.625  0.375  0.250
Ti  0.000  0.000  0.000
Ti  0.000  0.000  0.500
Ti  0.000  0.500  0.000
Ti  0.500  0.000  0.500
Ag  0.125  0.875  0.250
Ag  0.875  0.125  0.750

[6]
Material: BaTiAg2
Method: DFT, GGA-PBE
State: relaxed

Computed properties:
V: 26.1 A^3/atom
relative energy among the computed polymorphs: 0.006 eV per atom
magnetization: 0.001 μB/atom
ΔE_f: 0.43 eV/atom

Unit cell a=5.282 b=5.282 c=5.282 alpha=60.00 beta=60.00 gamma=60.00
Fractional coordinates of all 4 atoms:
Ba  0.000  0.000  0.000
Ti  0.500  0.500  0.500
Ag  0.250  0.250  0.250
Ag  0.750  0.750  0.750

[7]
Material: Ba3TiAg
Method: DFT, GGA-PBE
State: relaxed

Computed properties:
V: 51.7 A^3/atom
relative energy among the computed polymorphs: 0.000 eV per atom
magnetization: 0.624 μB/atom
ΔE_f: 0.54 eV/atom

Unit cell a=6.370 b=6.370 c=6.370 alpha=90.00 beta=90.00 gamma=90.00
Fractional coordinates of all 5 atoms:
Ba  0.000  0.000  0.500
Ba  0.000  0.500  0.000
Ba  0.500  0.000  0.000
Ti  0.500  0.500  0.500
Ag  0.000  0.000  0.000

[8]
Material: BaTi2Ag
Method: DFT, GGA-PBE
State: relaxed

Computed properties:
V: 21.5 A^3/atom
relative energy among the computed polymorphs: 0.032 eV per atom
magnetization: 0.255 μB/atom
ΔE_f: 0.77 eV/atom

Unit cell a=4.951 b=4.951 c=4.951 alpha=60.00 beta=60.00 gamma=60.00
Fractional coordinates of all 4 atoms:
Ba  0.000  0.000  0.000
Ti  0.250  0.250  0.250
Ti  0.750  0.750  0.750
Ag  0.500  0.500  0.500

[9]
Material: BaTi3Ag
Method: DFT, GGA-PBE
State: relaxed

Computed properties:
V: 24.5 A^3/atom
relative energy among the computed polymorphs: 0.864 eV per atom
magnetization: 0.421 μB/atom
ΔE_f: 1.81 eV/atom

Unit cell a=4.969 b=4.969 c=4.969 alpha=90.00 beta=90.00 gamma=90.00
Fractional coordinates of all 5 atoms:
Ba  0.000  0.000  0.000
Ti  0.000  0.000  0.500
Ti  0.000  0.500  0.000
Ti  0.500  0.000  0.000
Ag  0.500  0.500  0.500

[10]
Material: BaTi3Ag
Method: DFT, GGA-PBE
State: relaxed

Computed properties:
V: 26.6 A^3/atom
relative energy among the computed polymorphs: 0.000 eV per atom
magnetization: 0.221 μB/atom
ΔE_f: 0.95 eV/atom

Unit cell a=5.105 b=5.105 c=5.105 alpha=90.00 beta=90.00 gamma=90.00
Fractional coordinates of all 5 atoms:
Ba  0.000  0.000  0.000
Ti  0.000  0.500  0.500
Ti  0.500  0.000  0.500
Ti  0.500  0.500  0.000
Ag  0.500  0.500  0.500

[11]
Material: BaTiAg2
Method: DFT, GGA-PBE
State: relaxed

Computed properties:
V: 28.3 A^3/atom
relative energy among the computed polymorphs: 0.000 eV per atom
magnetization: 0.618 μB/atom
ΔE_f: 0.43 eV/atom

Unit cell a=6.711 b=6.711 c=6.711 alpha=104.38 beta=104.38 gamma=120.23
Fractional coordinates of all 8 atoms:
Ba  0.000  0.000  0.000
Ba  0.750  0.250  0.500
Ti  0.250  0.750  0.500
Ti  0.500  0.500  0.000
Ag  0.184  0.125  0.559
Ag  0.375  0.816  0.941
Ag  0.566  0.625  0.441
Ag  0.875  0.434  0.059

[12]
Material: BaTi2ZnAg
Method: DFT, GGA-PBE
State: relaxed

Computed properties:
V: 26.1 A^3/atom
relative energy among the computed polymorphs: 0.000 eV per atom
magnetization: 0.822 μB/atom
ΔE_f: 0.60 eV/atom

Unit cell a=5.055 b=5.055 c=5.096 alpha=90.00 beta=90.00 gamma=90.00
Fractional coordinates of all 5 atoms:
Ba  0.000  0.000  0.000
Ti  0.000  0.500  0.500
Ti  0.500  0.000  0.500
Zn  0.500  0.500  0.500
Ag  0.500  0.500  0.000